The following is a PBE calculation of an optimized crystal structure of ThUSn, from OQMD.

## Properties
magnetic moment	1.7524	μB/atom
DFT total energy	-6.8478	eV/atom

abc: 5.131 5.131 5.131
angles: 60.00 60.00 60.00
Fractional coordinates of all 3 atoms:
Th 0.000 0.000 0.000
U 0.250 0.250 0.250
Sn 0.500 0.500 0.500

***

The following is a PBE calculation of an optimized crystal structure of GdErGa2Ag2, from OQMD.

## Properties
magnetic moment	0.0016	μB/atom
DFT total energy	-3.9895	eV/atom
excess energy over the best structure of this formula in the dataset	3	meV per atom

abc: 4.592 4.592 7.002
angles: 90.00 90.00 120.00
Fractional coordinates of all 6 atoms:
Gd 0.000 0.000 0.000
Er 0.000 0.000 0.500
Ga 0.333 0.667 0.223
Ga 0.333 0.667 0.777
Ag 0.667 0.333 0.267
Ag 0.667 0.333 0.733

***

The following is a PBE calculation of an optimized crystal structure of TmTlB4, from OQMD.

## Properties
magnetic moment	0.0019	μB/atom
DFT total energy	-5.4988	eV/atom
excess energy over the best structure of this formula in the dataset	63	meV per atom

abc: 3.192 3.192 9.009
angles: 90.00 90.00 120.00
Fractional coordinates of all 6 atoms:
Tm 0.000 0.000 0.000
Tl 0.000 0.000 0.500
B 0.333 0.667 0.206
B 0.333 0.667 0.794
B 0.667 0.333 0.206
B 0.667 0.333 0.794

***

The following is a PBE calculation of an optimized crystal structure of ErZnInSe3, from OQMD.

## Properties
magnetic moment	0.0004	μB/atom
DFT total energy	-4.1762	eV/atom
excess energy over the best structure of this formula in the dataset	65	meV per atom

abc: 11.673 4.209 12.426
angles: 90.00 90.00 90.00
Fractional coordinates of all 24 atoms:
Er 0.022 0.250 0.178
Er 0.478 0.750 0.678
Er 0.522 0.250 0.322
Er 0.978 0.750 0.822
Zn 0.248 0.750 0.302
Zn 0.252 0.250 0.802
Zn 0.748 0.750 0.198
Zn 0.752 0.250 0.698
In 0.171 0.250 0.504
In 0.329 0.750 0.004
In 0.671 0.250 0.996
In 0.829 0.750 0.496
Se 0.039 0.750 0.338
Se 0.096 0.250 0.935
Se 0.229 0.750 0.691
Se 0.271 0.250 0.191
Se 0.404 0.750 0.435
Se 0.461 0.250 0.838
Se 0.539 0.750 0.162
Se 0.596 0.250 0.565
Se 0.729 0.750 0.809
Se 0.771 0.250 0.309
Se 0.904 0.750 0.065
Se 0.961 0.250 0.662

***

The following is a PBE calculation of an optimized crystal structure of Sm2Tm2CCl5, from OQMD.

## Properties
magnetic moment	0.0006	μB/atom
DFT total energy	-5.3707	eV/atom

abc: 8.711 8.711 8.012
angles: 102.32 102.32 24.94
Fractional coordinates of all 10 atoms:
Sm 0.002 0.002 0.288
Sm 0.998 0.998 0.712
Tm 0.359 0.359 0.426
Tm 0.641 0.641 0.574
C 0.500 0.500 0.500
Cl 0.168 0.168 0.816
Cl 0.175 0.175 0.355
Cl 0.500 0.500 0.000
Cl 0.825 0.825 0.645
Cl 0.832 0.832 0.184

***

The following is a PBE calculation of an optimized crystal structure of CuNiPbW, from OQMD.

## Properties
magnetic moment	0.3434	μB/atom
DFT total energy	-5.6722	eV/atom
excess energy over the best structure of this formula in the dataset	63	meV per atom

abc: 4.504 4.504 4.504
angles: 60.00 60.00 60.00
Fractional coordinates of all 4 atoms:
Cu 0.000 0.000 0.000
Ni 0.250 0.250 0.250
Pb 0.750 0.750 0.750
W 0.500 0.500 0.500

***

The following is a PBE calculation of an optimized crystal structure of Ta2B2Pb, from OQMD.

## Properties
magnetic moment	0.0004	μB/atom
DFT total energy	-8.3094	eV/atom

abc: 7.782 7.782 3.225
angles: 90.00 90.00 157.54
Fractional coordinates of all 5 atoms:
Ta 0.163 0.837 0.000
Ta 0.837 0.163 0.000
B 0.279 0.721 0.500
B 0.721 0.279 0.500
Pb 0.500 0.500 0.500

***

The following is a PBE calculation of an optimized crystal structure of ErSeO3F, from OQMD.

## Properties
magnetic moment	0.0001	μB/atom
DFT total energy	-6.5371	eV/atom
excess energy over the best structure of this formula in the dataset	0	meV per atom

abc: 4.233 6.379 6.787
angles: 93.11 95.50 97.94
Fractional coordinates of all 12 atoms:
Er 0.047 0.131 0.260
Er 0.953 0.869 0.740
Se 0.184 0.371 0.784
Se 0.816 0.629 0.216
O 0.006 0.813 0.068
O 0.116 0.490 0.284
O 0.155 0.177 0.589
O 0.845 0.823 0.411
O 0.884 0.510 0.716
O 0.994 0.187 0.932
F 0.450 0.831 0.764
F 0.550 0.169 0.236

***

Number 3 is which compound? TmTlB4

***

Please write out number 2 again, unchanged.
The following is a PBE calculation of an optimized crystal structure of GdErGa2Ag2, from OQMD.

## Properties
magnetic moment	0.0016	μB/atom
DFT total energy	-3.9895	eV/atom
excess energy over the best structure of this formula in the dataset	3	meV per atom

abc: 4.592 4.592 7.002
angles: 90.00 90.00 120.00
Fractional coordinates of all 6 atoms:
Gd 0.000 0.000 0.000
Er 0.000 0.000 0.500
Ga 0.333 0.667 0.223
Ga 0.333 0.667 0.777
Ag 0.667 0.333 0.267
Ag 0.667 0.333 0.733

***

Among the records above, which one has the highest magnetic moment? ThUSn